(1)
Entry from OQMD: a relaxed structure of NbCoCuSi (PBE).

Values from the calculation:
Its energy above the most stable polymorph in this dataset is 0.00 eV per formula unit.

Cell: 5.9260 5.9260 5.9260 Å, 90.00 90.00 90.00°
Space group F-43m (No. 216)
Inequivalent atoms, fractional coordinates:
Nb: 0.0000 0.0000 0.0000 x4
Co: 0.2500 0.2500 0.7500 x4
Cu: 0.2500 0.2500 0.2500 x4
Si: 0.0000 0.0000 0.5000 x4

(2)
Entry from OQMD: a relaxed structure of NbCoCuSn (PBE).

Values from the calculation:
Its energy above the most stable polymorph in this dataset is 0.78 eV per formula unit.

Cell: 6.2831 6.2831 6.2831 Å, 90.00 90.00 90.00°
Space group F-43m (No. 216)
Inequivalent atoms, fractional coordinates:
Nb: 0.0000 0.0000 0.0000 x4
Co: 0.2500 0.2500 0.7500 x4
Cu: 0.0000 0.0000 0.5000 x4
Sn: 0.2500 0.2500 0.2500 x4

(3)
Entry from OQMD: a relaxed structure of NbCoCuSn (PBE).

Values from the calculation:
Its energy above the most stable polymorph in this dataset is 0.00 eV per formula unit.

Cell: 6.2229 6.2229 6.2229 Å, 90.00 90.00 90.00°
Space group F-43m (No. 216)
Inequivalent atoms, fractional coordinates:
Nb: 0.0000 0.0000 0.0000 x4
Co: 0.2500 0.2500 0.7500 x4
Cu: 0.2500 0.2500 0.2500 x4
Sn: 0.0000 0.0000 0.5000 x4

(4)
Entry from OQMD: a relaxed structure of NbZnCoCu (PBE).

Values from the calculation:
Its energy above the most stable polymorph in this dataset is 0.36 eV per formula unit.

Cell: 6.0143 6.0143 6.0143 Å, 90.00 90.00 90.00°
Space group F-43m (No. 216)
Inequivalent atoms, fractional coordinates:
Nb: 0.0000 0.0000 0.0000 x4
Zn: 0.2500 0.2500 0.2500 x4
Co: 0.2500 0.2500 0.7500 x4
Cu: 0.0000 0.0000 0.5000 x4

(5)
Entry from OQMD: a relaxed structure of NbZnCoCu (PBE).

Values from the calculation:
Its energy above the most stable polymorph in this dataset is 0.00 eV per formula unit.

Cell: 5.9995 5.9995 5.9995 Å, 90.00 90.00 90.00°
Space group F-43m (No. 216)
Inequivalent atoms, fractional coordinates:
Nb: 0.0000 0.0000 0.0000 x4
Zn: 0.0000 0.0000 0.5000 x4
Co: 0.2500 0.2500 0.7500 x4
Cu: 0.2500 0.2500 0.2500 x4

(6)
Entry from OQMD: a relaxed structure of Nd3Co2Cu2P4 (PBE).

Cell: 3.9196 3.9196 14.7344 Å, 90.00 90.00 120.00°
Space group P-3m1 (No. 164)
Inequivalent atoms, fractional coordinates:
Nd: 0.0000 0.0000 0.0000 x1
Nd: 0.0000 0.0000 0.2866 x2
Co: 0.3333 0.6667 0.5574 x2
Cu: 0.3333 0.6667 0.1421 x2
P: 0.3333 0.6667 0.4094 x2
P: 0.3333 0.6667 0.8597 x2

(7)
Entry from OQMD: a relaxed structure of Nd2CoCuSb4 (PBE).

Cell: 4.3968 4.3968 9.9395 Å, 90.00 90.00 90.00°
Space group P-4m2 (No. 115)
Inequivalent atoms, fractional coordinates:
Nd: 0.0000 0.5000 0.2457 x2
Co: 0.0000 0.0000 0.0000 x1
Cu: 0.5000 0.5000 0.0000 x1
Sb: 0.0000 0.0000 0.5000 x1
Sb: 0.0000 0.5000 0.8595 x2
Sb: 0.5000 0.5000 0.5000 x1

(8)
Entry from OQMD: a relaxed structure of CoCuNiPb (PBE).

Values from the calculation:
Its energy above the most stable polymorph in this dataset is 0.46 eV per formula unit.

Cell: 6.0823 6.0823 6.0823 Å, 90.00 90.00 90.00°
Space group F-43m (No. 216)
Inequivalent atoms, fractional coordinates:
Co: 0.0000 0.0000 0.0000 x4
Cu: 0.2500 0.2500 0.2500 x4
Ni: 0.2500 0.2500 0.7500 x4
Pb: 0.0000 0.0000 0.5000 x4

(9)
Entry from OQMD: a relaxed structure of CoCuNiPb (PBE).

Values from the calculation:
Its energy above the most stable polymorph in this dataset is 0.00 eV per formula unit.

Cell: 6.0774 6.0774 6.0774 Å, 90.00 90.00 90.00°
Space group F-43m (No. 216)
Inequivalent atoms, fractional coordinates:
Co: 0.0000 0.0000 0.0000 x4
Cu: 0.2500 0.2500 0.2500 x4
Ni: 0.0000 0.0000 0.5000 x4
Pb: 0.2500 0.2500 0.7500 x4

(10)
Entry from OQMD: a relaxed structure of CoCuNiSb (PBE).

Values from the calculation:
Its energy above the most stable polymorph in this dataset is 0.00 eV per formula unit.

Cell: 5.9518 5.9518 5.9518 Å, 90.00 90.00 90.00°
Space group F-43m (No. 216)
Inequivalent atoms, fractional coordinates:
Co: 0.0000 0.0000 0.0000 x4
Cu: 0.2500 0.2500 0.2500 x4
Ni: 0.0000 0.0000 0.5000 x4
Sb: 0.2500 0.2500 0.7500 x4

(11)
Entry from OQMD: a relaxed structure of CoCu4Si2Ni (PBE).

Cell: 4.0070 4.0070 5.6812 Å, 90.00 90.00 90.00°
Space group P4/mmm (No. 123)
Inequivalent atoms, fractional coordinates:
Co: 0.0000 0.0000 0.0000 x1
Cu: 0.0000 0.5000 0.2511 x4
Si: 0.0000 0.0000 0.5000 x1
Si: 0.5000 0.5000 0.0000 x1
Ni: 0.5000 0.5000 0.5000 x1

(12)
Entry from OQMD: a relaxed structure of CoCu4NiSn2 (PBE).

Cell: 4.2786 4.2786 6.0525 Å, 90.00 90.00 90.00°
Space group P4/mmm (No. 123)
Inequivalent atoms, fractional coordinates:
Co: 0.0000 0.0000 0.0000 x1
Cu: 0.0000 0.5000 0.2501 x4
Ni: 0.5000 0.5000 0.5000 x1
Sn: 0.0000 0.0000 0.5000 x1
Sn: 0.5000 0.5000 0.0000 x1

(13)
Entry from OQMD: a relaxed structure of CoCuNiSn (PBE).

Values from the calculation:
Its energy above the most stable polymorph in this dataset is 0.00 eV per formula unit.

Cell: 5.9362 5.9362 5.9362 Å, 90.00 90.00 90.00°
Space group F-43m (No. 216)
Inequivalent atoms, fractional coordinates:
Co: 0.0000 0.0000 0.0000 x4
Cu: 0.2500 0.2500 0.2500 x4
Ni: 0.0000 0.0000 0.5000 x4
Sn: 0.2500 0.2500 0.7500 x4

(14)
Entry from OQMD: a relaxed structure of TlCoCuNi (PBE).

Values from the calculation:
Its energy above the most stable polymorph in this dataset is 0.00 eV per formula unit.

Cell: 6.0281 6.0281 6.0281 Å, 90.00 90.00 90.00°
Space group F-43m (No. 216)
Inequivalent atoms, fractional coordinates:
Tl: 0.0000 0.0000 0.0000 x4
Co: 0.2500 0.2500 0.2500 x4
Cu: 0.0000 0.0000 0.5000 x4
Ni: 0.2500 0.2500 0.7500 x4

(15)
Entry from OQMD: a relaxed structure of ZnCoCuNi (PBE).

Values from the calculation:
Its energy above the most stable polymorph in this dataset is 0.02 eV per formula unit.

Cell: 5.7144 5.7144 5.7144 Å, 90.00 90.00 90.00°
Space group F-43m (No. 216)
Inequivalent atoms, fractional coordinates:
Zn: 0.0000 0.0000 0.0000 x4
Co: 0.2500 0.2500 0.7500 x4
Cu: 0.2500 0.2500 0.2500 x4
Ni: 0.0000 0.0000 0.5000 x4

(16)
Entry from OQMD: a relaxed structure of ZnCoCuNi (PBE).

Values from the calculation:
Its energy above the most stable polymorph in this dataset is 0.00 eV per formula unit.

Cell: 5.6848 5.6848 5.6848 Å, 90.00 90.00 90.00°
Space group F-43m (No. 216)
Inequivalent atoms, fractional coordinates:
Zn: 0.0000 0.0000 0.0000 x4
Co: 0.2500 0.2500 0.7500 x4
Cu: 0.0000 0.0000 0.5000 x4
Ni: 0.2500 0.2500 0.2500 x4

(17)
Entry from OQMD: a relaxed structure of CoCuSbOs (PBE).

Values from the calculation:
Its energy above the most stable polymorph in this dataset is 0.00 eV per formula unit.

Cell: 6.0971 6.0971 6.0971 Å, 90.00 90.00 90.00°
Space group F-43m (No. 216)
Inequivalent atoms, fractional coordinates:
Co: 0.0000 0.0000 0.0000 x4
Cu: 0.2500 0.2500 0.2500 x4
Sb: 0.2500 0.2500 0.7500 x4
Os: 0.0000 0.0000 0.5000 x4

(18)
Entry from OQMD: a relaxed structure of CoCuSiOs (PBE).

Values from the calculation:
Its energy above the most stable polymorph in this dataset is 0.00 eV per formula unit.

Cell: 5.7664 5.7664 5.7664 Å, 90.00 90.00 90.00°
Space group F-43m (No. 216)
Inequivalent atoms, fractional coordinates:
Co: 0.0000 0.0000 0.0000 x4
Cu: 0.2500 0.2500 0.2500 x4
Si: 0.2500 0.2500 0.7500 x4
Os: 0.0000 0.0000 0.5000 x4

(19)
Entry from OQMD: a relaxed structure of CoCuSnOs (PBE).

Values from the calculation:
Its energy above the most stable polymorph in this dataset is 0.00 eV per formula unit.

Cell: 6.1215 6.1215 6.1215 Å, 90.00 90.00 90.00°
Space group F-43m (No. 216)
Inequivalent atoms, fractional coordinates:
Co: 0.0000 0.0000 0.0000 x4
Cu: 0.2500 0.2500 0.2500 x4
Sn: 0.2500 0.2500 0.7500 x4
Os: 0.0000 0.0000 0.5000 x4

(20)
Entry from OQMD: a relaxed structure of TlCoCuOs (PBE).

Values from the calculation:
Its energy above the most stable polymorph in this dataset is 0.00 eV per formula unit.

Cell: 6.1818 6.1818 6.1818 Å, 90.00 90.00 90.00°
Space group F-43m (No. 216)
Inequivalent atoms, fractional coordinates:
Tl: 0.0000 0.0000 0.0000 x4
Co: 0.2500 0.2500 0.2500 x4
Cu: 0.2500 0.2500 0.7500 x4
Os: 0.0000 0.0000 0.5000 x4

no.,total DFT energy (no corrections) (eV/cell)
1,-107.66
2,-96.72
3,-99.84
4,-87.72
5,-89.15
6,-68.04
7,-41.74
8,-74.03
9,-75.86
10,-82.21
11,-38.36
12,-34.64
13,-82.09
14,-69.60
15,-69.80
16,-69.89
17,-99.94
18,-110.88
19,-98.71
20,-86.59